Entry 1:
# KZnW2 | Alexandria | PBE | optimized geometry
data_KZnW2
_chemical_formula_sum 'K1 Zn1 W2'
_space_group_name_H-M_alt 'P 4 m m'
_space_group_IT_number 99
_cell_length_a 3.254
_cell_length_b 3.254
_cell_length_c 8.416
_cell_angle_alpha 90.00
_cell_angle_beta 90.00
_cell_angle_gamma 90.00
loop_
_space_group_symop_operation_xyz
'x,y,z'
'-y,x,z'
'-x,-y,z'
'y,-x,z'
'-x,y,z'
'y,x,z'
'x,-y,z'
'-y,-x,z'
loop_
_atom_site_label
_atom_site_type_symbol
_atom_site_fract_x
_atom_site_fract_y
_atom_site_fract_z
_atom_site_occupancy
K1 K 0.000 0.000 0.000 1
Zn1 Zn 0.500 0.500 0.688 1
W1 W 0.000 0.000 0.501 1
W2 W 0.500 0.500 0.352 1
# - Magnetization: 0.00 μB per atom
# - Calculated formation energy: 0.73 eV/atom
# - Calculated density: 8.797 g cm⁻³
# - Volume: 22.3 Å³/atom

Entry 2:
# KZnW2 | Alexandria | PBE | optimized geometry
data_KZnW2
_chemical_formula_sum 'K2 Zn2 W4'
_space_group_name_H-M_alt 'C m m 2'
_space_group_IT_number 35
_cell_length_a 3.217
_cell_length_b 4.551
_cell_length_c 10.469
_cell_angle_alpha 90.00
_cell_angle_beta 90.00
_cell_angle_gamma 90.00
loop_
_space_group_symop_operation_xyz
'x,y,z'
'-x,-y,z'
'-x,y,z'
'x,-y,z'
'x+1/2,y+1/2,z'
'-x+1/2,-y+1/2,z'
'-x+1/2,y+1/2,z'
'x+1/2,-y+1/2,z'
loop_
_atom_site_label
_atom_site_type_symbol
_atom_site_fract_x
_atom_site_fract_y
_atom_site_fract_z
_atom_site_occupancy
K1 K 0.000 0.000 0.000 1
Zn1 Zn 0.000 0.500 0.719 1
W1 W 0.000 0.000 0.504 1
W2 W 0.000 0.500 0.298 1
# - Magnetization: 0.00 μB per atom
# - Calculated formation energy: 0.69 eV/atom
# - Calculated density: 10.232 g cm⁻³
# - Volume: 19.2 Å³/atom

Entry 3:
# K2ZrZnW | Alexandria | PBE | optimized geometry
data_K2ZrZnW
_chemical_formula_sum 'K2 Zr1 Zn1 W1'
_space_group_name_H-M_alt 'P 4/m m m'
_space_group_IT_number 123
_space_group_name_Hall '-P 4 2'
_cell_length_a 6.672
_cell_length_b 6.672
_cell_length_c 5.322
_cell_angle_alpha 90.00
_cell_angle_beta 90.00
_cell_angle_gamma 90.00
loop_
_atom_site_label
_atom_site_type_symbol
_atom_site_fract_x
_atom_site_fract_y
_atom_site_fract_z
_atom_site_occupancy
K1 K 0.000 0.500 0.000 1
Zr1 Zr 0.000 0.000 0.000 1
Zn1 Zn 0.000 0.000 0.500 1
W1 W 0.500 0.500 0.500 1
# - Magnetization: 1.73 μB per atom
# - Calculated formation energy: 2.27 eV/atom
# - Calculated density: 2.935 g cm⁻³
# - Volume: 47.4 Å³/atom